No. 1
First-principles (GGA-PBE) data for a geometry-optimized BaInTeN2 structure, as listed in the Alexandria database.

Properties
As for the space group: P4/mmm. The calculation puts the uncorrected formation energy at 613 meV per atom. As for the energy relative to the lowest polymorph listed for this composition: 0.000 eV/atom.

Cell: 4.6839 4.6839 5.8451 Å, 90.00 90.00 90.00°
Positions (direct):
Ba  0.0000  0.0000  0.0000
In  0.5000  0.5000  0.5000
Te  0.5000  0.5000  0.0000
N  0.0000  0.5000  0.5000
N  0.5000  0.0000  0.5000


No. 2
First-principles (GGA-PBE) data for a geometry-optimized BaInTe2N structure, as listed in the Alexandria database.

Properties
As for the space group: P4/mmm. The calculation puts the uncorrected formation energy at -80 meV per atom. As for the energy relative to the lowest polymorph listed for this composition: 0.000 eV/atom.

Cell: 6.0880 6.0880 4.3215 Å, 90.00 90.00 90.00°
Positions (direct):
Ba  0.0000  0.0000  0.0000
In  0.5000  0.5000  0.5000
Te  0.0000  0.5000  0.5000
Te  0.5000  0.0000  0.5000
N  0.5000  0.5000  0.0000


No. 3
First-principles (GGA-PBE) data for a geometry-optimized BaThInN3 structure, as listed in the Alexandria database.

Properties
As for the space group: P2_1/m. The calculation puts the uncorrected formation energy at -664 meV per atom.

Cell: 8.1742 3.7146 8.4655 Å, 90.00 95.02 90.00°
Positions (direct):
Ba  0.1630  0.2500  0.1902
Ba  0.8370  0.7500  0.8098
Th  0.3761  0.7500  0.8506
Th  0.6239  0.2500  0.1494
In  0.1239  0.2500  0.5925
In  0.8761  0.7500  0.4075
N  0.1568  0.7500  0.4562
N  0.1813  0.2500  0.8482
N  0.4260  0.7500  0.1168
N  0.5740  0.2500  0.8832
N  0.8187  0.7500  0.1518
N  0.8432  0.2500  0.5438


No. 4
First-principles (GGA-PBE) data for a geometry-optimized BaTh2InN4 structure, as listed in the Alexandria database.

Properties
As for the space group: Cmcm. The calculation puts the uncorrected formation energy at -918 meV per atom.

Cell: 6.6045 6.6045 12.4989 Å, 90.00 90.00 146.85°
Positions (direct):
Ba  0.0929  0.9071  0.7500
Ba  0.9071  0.0929  0.2500
Th  0.3709  0.6291  0.5456
Th  0.3709  0.6291  0.9544
Th  0.6291  0.3709  0.0456
Th  0.6291  0.3709  0.4544
In  0.1742  0.8258  0.2500
In  0.8258  0.1742  0.7500
N  0.0000  0.0000  0.0000
N  0.0000  0.0000  0.5000
N  0.2629  0.7371  0.1031
N  0.2629  0.7371  0.3969
N  0.4195  0.5805  0.7500
N  0.5805  0.4195  0.2500
N  0.7371  0.2629  0.6031
N  0.7371  0.2629  0.8969


No. 5
First-principles (GGA-PBE) data for a geometry-optimized BaY2InN structure, as listed in the Alexandria database.

Properties
As for the space group: P4/mmm. The calculation puts the uncorrected formation energy at -629 meV per atom.

Cell: 4.9219 4.9219 5.4807 Å, 90.00 90.00 90.00°
Positions (direct):
Ba  0.0000  0.0000  0.0000
Y  0.0000  0.5000  0.5000
Y  0.5000  0.0000  0.5000
In  0.5000  0.5000  0.0000
N  0.0000  0.0000  0.5000


No. 6
First-principles (GGA-PBE) data for a geometry-optimized BaNa2In4 structure, as listed in the Alexandria database.

Properties
As for the space group: I4/mmm. The value obtained for the formation energy from the elements is -176 kJ/mol of formula units.

Cell: 6.6183 6.6183 6.6183 Å, 100.86 100.86 128.55°
Positions (direct):
Ba  0.0000  0.0000  0.0000
Na  0.2500  0.7500  0.5000
Na  0.7500  0.2500  0.5000
In  0.3113  0.3113  0.6225
In  0.3113  0.6887  0.0000
In  0.6887  0.3113  0.0000
In  0.6887  0.6887  0.3775


No. 7
First-principles (GGA-PBE) data for a geometry-optimized Ba12Na2In5 structure, as listed in the Alexandria database.

Properties
As for the space group: C2/m. The value obtained for the formation energy from the elements is -255 kJ/mol of formula units.

Cell: 10.5214 10.5214 12.3160 Å, 100.85 100.85 46.79°
Positions (direct):
Ba  0.0132  0.0132  0.3080
Ba  0.0548  0.5547  0.8767
Ba  0.0967  0.5940  0.4425
Ba  0.4060  0.9033  0.5575
Ba  0.4186  0.4186  0.1973
Ba  0.4453  0.9452  0.1233
Ba  0.5547  0.0548  0.8767
Ba  0.5814  0.5814  0.8027
Ba  0.5940  0.0967  0.4425
Ba  0.9033  0.4060  0.5575
Ba  0.9452  0.4453  0.1233
Ba  0.9868  0.9868  0.6920
Na  0.1961  0.8039  0.0000
Na  0.8039  0.1961  0.0000
In  0.1494  0.1494  0.8744
In  0.1984  0.1984  0.3481
In  0.5000  0.5000  0.5000
In  0.8016  0.8016  0.6519
In  0.8506  0.8506  0.1256


No. 8
First-principles (GGA-PBE) data for a geometry-optimized Ba2NaIn2 structure, as listed in the Alexandria database.

Properties
As for the space group: I4/mmm. The value obtained for the formation energy from the elements is -37 kJ/mol of formula units. As for the energy relative to the lowest polymorph listed for this composition: 0.221 eV/atom.

Cell: 11.4844 11.4844 11.4844 Å, 157.60 157.60 31.88°
Positions (direct):
Ba  0.1177  0.1177  0.0000
Ba  0.8823  0.8823  0.0000
Na  0.5000  0.5000  0.0000
In  0.2500  0.7500  0.5000
In  0.7500  0.2500  0.5000


No. 9
First-principles (GGA-PBE) data for a geometry-optimized Ba8NaIn2 structure, as listed in the Alexandria database.

Properties
As for the space group: Cm. The value obtained for the formation energy from the elements is -149 kJ/mol of formula units. As for the energy relative to the lowest polymorph listed for this composition: 0.020 eV/atom.

Cell: 11.3521 11.3521 6.2525 Å, 105.98 105.98 123.11°
Positions (direct):
Ba  0.0000  0.0000  0.0000
Ba  0.0956  0.7677  0.4323
Ba  0.1724  0.5925  0.8832
Ba  0.2939  0.2939  0.7932
Ba  0.4591  0.6845  0.5721
Ba  0.5925  0.1724  0.8832
Ba  0.6845  0.4591  0.5721
Ba  0.7677  0.0956  0.4323
Na  0.7132  0.7132  0.2135
In  0.0170  0.3403  0.1798
In  0.3403  0.0170  0.1798


No. 10
First-principles (GGA-PBE) data for a geometry-optimized Ba2NaIn structure, as listed in the Alexandria database.

Properties
As for the space group: P4/mmm. The value obtained for the formation energy from the elements is -95 kJ/mol of formula units.

Cell: 4.3185 4.3185 9.5980 Å, 90.00 90.00 90.00°
Positions (direct):
Ba  0.0000  0.0000  0.2106
Ba  0.0000  0.0000  0.7894
Na  0.5000  0.5000  0.5000
In  0.5000  0.5000  0.0000


No. 11
First-principles (GGA-PBE) data for a geometry-optimized BaNaIn4 structure, as listed in the Alexandria database.

Properties
As for the space group: P6/mmm. The value obtained for the formation energy from the elements is -177 kJ/mol of formula units. As for the energy relative to the lowest polymorph listed for this composition: 0.000 eV/atom.

Cell: 5.1237 5.1237 7.9691 Å, 90.00 90.00 120.00°
Positions (direct):
Ba  0.0000  0.0000  0.0000
Na  0.0000  0.0000  0.5000
In  0.3333  0.6667  0.2850
In  0.3333  0.6667  0.7150
In  0.6667  0.3333  0.2850
In  0.6667  0.3333  0.7150


No. 12
First-principles (GGA-PBE) data for a geometry-optimized Ba3NaIn8 structure, as listed in the Alexandria database.

Properties
As for the space group: R3m. The value obtained for the formation energy from the elements is -411 kJ/mol of formula units.

Cell: 11.2030 11.2030 11.2030 Å, 33.15 33.15 33.15°
Positions (direct):
Ba  0.0000  0.0000  0.0000
Ba  0.1276  0.1276  0.1276
Ba  0.5049  0.5049  0.5049
Na  0.6284  0.6284  0.6284
In  0.0638  0.5640  0.5640
In  0.0661  0.0661  0.5654
In  0.0661  0.5654  0.0661
In  0.3149  0.3149  0.3149
In  0.5640  0.0638  0.5640
In  0.5640  0.5640  0.0638
In  0.5654  0.0661  0.0661
In  0.8145  0.8145  0.8145